Tm2TlRuO8 | PBE | relaxed

a = 4.889 Å, b = 4.879 Å, c = 6.954 Å
α = 90.00°, β = 90.00°, γ = 92.54°
Site moments in Bohr magnetons follow the coordinates.
Element x y z (fractional)
O (0.186, 0.812, 0.802)  0.05
Tm (0.500, 0.500, 0.245)  0.03
Tl (0.000, 0.000, 0.500)  0.01
O (0.814, 0.188, 0.198)  0.05
O (0.186, 0.812, 0.198)  0.05
O (0.694, 0.696, 0.500)  0.02
Ru (0.000, 0.000, 0.000)  0.68
O (0.715, 0.717, 0.000)  -0.01
O (0.306, 0.304, 0.500)  0.02
O (0.285, 0.283, 0.000)  -0.01
Tm (0.500, 0.500, 0.755)  0.03
O (0.814, 0.188, 0.802)  0.05

Output
density of states at the Fermi level = 4.60 states/eV per cell
volume = 166 Å³ per cell
uncorrected formation energy = -1.85 eV per atom